Entry 1:
SrScPtO6 PBE relaxed; formation energy (no corrections) = -1.67 eV per atom
1.0
5.380 0.000 0.000
-2.690 4.659 0.000
0.000 0.000 5.371
Sr Sc Pt O
1 1 1 6
Direct
0.000 0.000 0.000
0.333 0.667 0.500
0.667 0.333 0.500
0.378 0.021 0.705
0.378 0.357 0.295
0.643 0.021 0.295
0.643 0.622 0.705
0.979 0.357 0.705
0.979 0.622 0.295

=====

Entry 2:
Ge2MoPd PBE relaxed; energy of formation from the pure elements = 0.2635 eV per atom
1.0
-3.401 3.401 2.958
3.401 -3.401 2.958
3.401 3.401 -2.958
Ge Mo Pd
4 2 2
Direct
0.112 0.625 0.987
0.375 0.362 0.487
0.638 0.125 0.013
0.875 0.888 0.513
0.250 0.750 0.500
0.500 0.500 0.000
0.000 0.000 0.000
0.750 0.250 0.500

=====

no.,magnetization (μB per cell),ρ (g cm⁻³)
1,1.817,5.225
2,0.000,8.435